Material: Pm2YTc
Method: DFT, PBE
State: optimized geometry

Cell: 6.3893 7.4873 9.4623 Å, 90.00 90.00 90.00°
Closest atoms and distances in Å follow each position.
Sites, in units of the cell vectors:
Y 0.6345 0.5453 0.2500  2 Tc 2.82-2.85
Y 0.1345 0.9547 0.7500  2 Tc 2.82-2.85
Y 0.3655 0.4547 0.7500  2 Tc 2.82-2.85
Y 0.8655 0.0453 0.2500  2 Tc 2.82-2.85
Pm 0.8365 0.3228 0.9358  2 Tc 2.88-3.03
Pm 0.6635 0.8228 0.9358  2 Tc 2.88-3.03
Pm 0.1635 0.6772 0.0642  2 Tc 2.88-3.03
Pm 0.6635 0.8228 0.5642  2 Tc 2.88-3.03
Pm 0.3365 0.1772 0.4358  2 Tc 2.88-3.03
Pm 0.1635 0.6772 0.4358  2 Tc 2.88-3.03
Pm 0.8365 0.3228 0.5642  2 Tc 2.88-3.03
Pm 0.3365 0.1772 0.0642  2 Tc 2.88-3.03
Tc 0.9586 0.6099 0.7500  2 Y 2.82-2.85, 4 Pm 2.88-3.03
Tc 0.0414 0.3901 0.2500  2 Y 2.82-2.85, 4 Pm 2.88-3.03
Tc 0.4586 0.8901 0.2500  2 Y 2.82-2.85, 4 Pm 2.88-3.03
Tc 0.5414 0.1099 0.7500  2 Y 2.82-2.85, 4 Pm 2.88-3.03

Properties
As for the symmetry: Pnma, No. 62. The formation energy comes out at -0.024 eV/atom. For the volume, the calculation gives 28.3 A^3/atom.


Material: Pm7Tl5Bi
Method: DFT, PBE
State: optimized geometry

Cell: 6.5884 8.5369 8.5369 Å, 83.16 67.30 67.30°
Closest atoms and distances in Å follow each position.
Sites, in units of the cell vectors:
Tl 0.5167 0.4758 0.9894  6 Pm 3.21-3.45, 3 Tl 3.28-3.35
Tl 0.5167 0.9894 0.4758  6 Pm 3.21-3.45, 3 Tl 3.28-3.35
Tl 0.0181 0.9894 0.4758  6 Pm 3.21-3.45, 3 Tl 3.28-3.35
Tl 0.7834 0.7166 0.7166  6 Pm 3.22-3.35, 4 Tl 3.35
Tl 0.0181 0.4758 0.9894  6 Pm 3.21-3.45, 3 Tl 3.28-3.35
Bi 0.9328 0.0672 0.0672  2 Pm 3.24-3.51
Pm 0.5326 0.1333 0.8015  5 Tl 3.22-3.45, 1 Pm 3.30
Pm 0.0120 0.3094 0.6667  5 Tl 3.22-3.32, 1 Pm 3.60
Pm 0.2286 0.7714 0.7714  1 Bi 3.24, 6 Tl 3.35-3.37
Pm 0.2843 0.2157 0.2157  4 Tl 3.21, 2 Pm 3.30
Pm 0.6123 0.3877 0.3877  1 Bi 3.51, 4 Tl 3.63, 4 Pm 3.79-3.89
Pm 0.0120 0.6667 0.3094  5 Tl 3.22-3.32, 1 Pm 3.60
Pm 0.5326 0.8015 0.1333  5 Tl 3.22-3.45, 1 Pm 3.30

Properties
As for the symmetry: Imm2, No. 44. The formation energy comes out at -0.242 eV/atom. For the volume, the calculation gives 31.4 A^3/atom.


Material: Ta2NiP
Method: DFT, PBE
State: optimized geometry

Cell: 6.7259 6.7259 5.5153 Å, 52.43 52.43 90.00°
Closest atoms and distances in Å follow each position.
Sites, in units of the cell vectors:
Ni 0.0000 0.0000 0.0000  4 Ta 2.51, 2 P 2.79
Ni 0.7500 0.2500 0.5000  4 Ta 2.51, 2 P 2.79
Ta 0.3750 0.3814 0.7500  2 P 2.45, 2 Ni 2.51
Ta 0.1314 0.6250 0.2500  2 P 2.45, 2 Ni 2.51
Ta 0.6186 0.1250 0.2500  2 P 2.45, 2 Ni 2.51
Ta 0.8750 0.8686 0.7500  2 P 2.45, 2 Ni 2.51
P 0.2500 0.7500 0.5000  4 Ta 2.45
P 0.5000 0.5000 0.0000  4 Ta 2.45

Properties
As for the symmetry: I-42d, No. 122. The formation energy comes out at -0.100 eV/atom. For the volume, the calculation gives 15.8 A^3/atom.


Material: TaSbRu2
Method: DFT, PBE
State: optimized geometry

Cell: 4.7382 4.7382 4.7382 Å, 127.35 127.30 77.72°
Closest atoms and distances in Å follow each position.
Sites, in units of the cell vectors:
Sb 0.7500 0.2500 0.5000  8 Ru 2.80, 4 Ta 2.97
Ta 0.2500 0.7500 0.5000  8 Ru 2.80, 4 Sb 2.97
Ru 0.9999 0.9999 0.0000  4 Sb 2.80, 4 Ta 2.80, 4 Ru 2.97
Ru 0.5001 0.5001 0.0000  4 Sb 2.80, 4 Ta 2.80, 4 Ru 2.97

Properties
The calculation puts the formation energy without anion corrections at -0.1875 eV per atom. As for the symmetry: I4/mmm, No. 139. For the volume, the calculation gives 16.3 A^3/atom.


Material: CsSrAs
Method: DFT, PBE
State: optimized geometry

Cell: 5.5974 5.5984 9.2298 Å, 72.33 72.35 90.00°
Closest atoms and distances in Å follow each position.
Sites, in units of the cell vectors:
As 0.5623 0.5026 0.7925  4 Sr 3.19
As 0.2462 0.1866 0.4246  4 Sr 3.19
Sr 0.1543 0.5945 0.6085  4 As 3.19
Sr 0.6542 0.0947 0.6085  4 As 3.19
Cs 0.9042 0.3440 0.1085  4 As 3.84, 4 Cs 3.96, 2 Sr 4.17
Cs 0.4042 0.8441 0.1085  4 As 3.84-3.85, 4 Cs 3.96, 2 Sr 4.17

Properties
As for the symmetry: I4/mmm, No. 139. The formation energy comes out at -0.735 eV/atom. For the volume, the calculation gives 43.5 A^3/atom.


Material: Tb2GaSe
Method: DFT, PBE
State: optimized geometry

Cell: 3.9823 3.9823 7.6831 Å, 74.98 74.98 60.00°
Closest atoms and distances in Å follow each position.
Sites, in units of the cell vectors:
Tb 0.7515 0.7515 0.7454  3 Se 2.92, 3 Ga 2.96
Tb 0.2485 0.2485 0.2546  3 Se 2.92, 3 Ga 2.96
Ga 0.0000 0.0000 0.0000  6 Tb 2.96
Se 0.5000 0.5000 0.5000  6 Tb 2.92

Properties
The calculation puts the formation energy without anion corrections at -1.1823 eV per atom. As for the symmetry: R-3m, No. 166. For the volume, the calculation gives 25.2 A^3/atom.


Material: Pm6In2O
Method: DFT, PBE
State: optimized geometry

Cell: 7.0684 7.0684 7.0682 Å, 60.00 60.00 60.00°
Closest atoms and distances in Å follow each position.
Sites, in units of the cell vectors:
Pm 0.7462 0.2534 0.7466  1 O 2.46
Pm 0.2534 0.7462 0.7466  1 O 2.46
Pm 0.7465 0.7465 0.2540  1 O 2.46
Pm 0.7466 0.2538 0.2534  1 O 2.46
Pm 0.2538 0.7466 0.2534  1 O 2.46
Pm 0.2535 0.2535 0.7460  1 O 2.46
O 0.5000 0.5000 0.5000  6 Pm 2.46
In 0.7500 0.7500 0.7502  12 Pm 3.53-3.54
In 0.2500 0.2500 0.2498  12 Pm 3.53-3.54

Properties
The calculation puts the formation energy without anion corrections at -0.8418 eV per atom. As for the symmetry: Fm-3m, No. 225. For the volume, the calculation gives 27.7 A^3/atom.


Material: Li3AcPb3
Method: DFT, PBE
State: optimized geometry

Cell: 7.3583 7.3583 7.3583 Å, 90.00 90.00 90.00°
Closest atoms and distances in Å follow each position.
Sites, in units of the cell vectors:
Li 0.7500 0.0000 0.5000  4 Pb 2.60
Li 0.5000 0.7500 0.0000  4 Pb 2.60
Li 0.2500 0.0000 0.5000  4 Pb 2.60
Li 0.0000 0.5000 0.2500  4 Pb 2.60
Li 0.0000 0.5000 0.7500  4 Pb 2.60
Li 0.5000 0.2500 0.0000  4 Pb 2.60
Ac 0.0000 0.0000 0.0000  12 Li 4.11, 12 Pb 4.11
Ac 0.5000 0.5000 0.5000  12 Pb 4.11, 12 Li 4.11
Pb 0.2500 0.5000 0.0000  4 Li 2.60
Pb 0.0000 0.7500 0.5000  4 Li 2.60
Pb 0.5000 0.0000 0.2500  4 Li 2.60
Pb 0.5000 0.0000 0.7500  4 Li 2.60
Pb 0.0000 0.2500 0.5000  4 Li 2.60
Pb 0.7500 0.5000 0.0000  4 Li 2.60

Properties
As for the symmetry: Pm-3n, No. 223. The formation energy comes out at 0.023 eV/atom. For the volume, the calculation gives 28.5 A^3/atom.


Question: What is the formula in the second record?
Answer: Pm7Tl5Bi


Question: Among the records above, which one has the highest volume?
Answer: CsSrAs


Question: Which value of volume does entry 8 give?
Answer: 28.5 A^3/atom